Record 1
# PBE-GGA Pm2PrHg8, relaxed
# Energy of formation in eV/atom: -0.346
# Crystal system: orthorhombic
# Offset from the most stable computed form in meV/atom: 10
data_Pm2PrHg8
_cell_length_a 8.749
_cell_length_b 8.749
_cell_length_c 8.749
_cell_angle_alpha 145.26
_cell_angle_beta 129.62
_cell_angle_gamma 62.64
_space_group_name_H-M_alt 'P 1'
_space_group_IT_number 1
_space_group_name_Hall 'P 1'
loop_
_atom_site_label
_atom_site_type_symbol
_atom_site_fract_x
_atom_site_fract_y
_atom_site_fract_z
Pm1 Pm 0.191 0.191 0.000
Pm2 Pm 0.809 0.809 0.000
Pr1 Pr 0.500 0.500 0.000
Hg1 Hg 0.063 0.350 0.712
Hg2 Hg 0.210 0.000 0.210
Hg3 Hg 0.342 0.842 0.500
Hg4 Hg 0.362 0.650 0.712
Hg5 Hg 0.638 0.350 0.288
Hg6 Hg 0.658 0.158 0.500
Hg7 Hg 0.790 0.000 0.790
Hg8 Hg 0.937 0.650 0.288

---

Record 2
# PBE-GGA KRu3Cl, relaxed
# Crystal system: cubic
# Offset from the most stable computed form in meV/atom: 0
data_KRu3Cl
_cell_length_a 4.506
_cell_length_b 4.506
_cell_length_c 4.506
_cell_angle_alpha 90.00
_cell_angle_beta 90.00
_cell_angle_gamma 90.00
_space_group_name_H-M_alt 'P 1'
_space_group_IT_number 1
_space_group_name_Hall 'P 1'
loop_
_atom_site_label
_atom_site_type_symbol
_atom_site_fract_x
_atom_site_fract_y
_atom_site_fract_z
K1 K 0.000 0.000 0.000
Ru1 Ru 0.000 0.500 0.500
Ru2 Ru 0.500 0.000 0.500
Ru3 Ru 0.500 0.500 0.000
Cl1 Cl 0.500 0.500 0.500

---

Record 3
# PBE-GGA YFeRh2, relaxed
# Energy of formation in eV/atom: 0.317
# Crystal system: trigonal
data_YFeRh2
_cell_length_a 8.831
_cell_length_b 8.831
_cell_length_c 8.831
_cell_angle_alpha 19.68
_cell_angle_beta 19.68
_cell_angle_gamma 19.68
_space_group_name_H-M_alt 'P 1'
_space_group_IT_number 1
_space_group_name_Hall 'P 1'
loop_
_atom_site_label
_atom_site_type_symbol
_atom_site_fract_x
_atom_site_fract_y
_atom_site_fract_z
Y1 Y 0.000 0.000 0.000
Fe1 Fe 0.759 0.759 0.759
Rh1 Rh 0.246 0.246 0.246
Rh2 Rh 0.496 0.496 0.496

---

Record 4
# PBE-GGA TaTc2Br, relaxed
# Crystal system: monoclinic
# Offset from the most stable computed form in meV/atom: 254
data_TaTc2Br
_cell_length_a 5.170
_cell_length_b 5.170
_cell_length_c 4.593
_cell_angle_alpha 108.31
_cell_angle_beta 108.31
_cell_angle_gamma 34.46
_space_group_name_H-M_alt 'P 1'
_space_group_IT_number 1
_space_group_name_Hall 'P 1'
loop_
_atom_site_label
_atom_site_type_symbol
_atom_site_fract_x
_atom_site_fract_y
_atom_site_fract_z
Ta1 Ta 0.000 0.000 0.000
Tc1 Tc 0.232 0.232 0.714
Tc2 Tc 0.492 0.492 0.535
Br1 Br 0.746 0.746 0.264

---

Record 5
# PBE-GGA K2PaCuTe4, relaxed
# Crystal system: monoclinic
# VASP energy in eV per atom: -4.254
data_K2PaCuTe4
_cell_length_a 7.796
_cell_length_b 4.351
_cell_length_c 8.586
_cell_angle_alpha 90.00
_cell_angle_beta 108.97
_cell_angle_gamma 90.00
_space_group_name_H-M_alt 'P 1'
_space_group_IT_number 1
_space_group_name_Hall 'P 1'
loop_
_atom_site_label
_atom_site_type_symbol
_atom_site_fract_x
_atom_site_fract_y
_atom_site_fract_z
K1 K 0.000 0.000 0.000
K2 K 0.500 0.500 0.000
Pa1 Pa 0.000 0.500 0.500
Cu1 Cu 0.500 0.000 0.500
Te1 Te 0.225 0.000 0.718
Te2 Te 0.285 0.500 0.330
Te3 Te 0.715 0.500 0.670
Te4 Te 0.775 0.000 0.282

---

Record 6
# PBE-GGA Mg3NbAu, relaxed
# Energy of formation in eV/atom: 0.540
# Crystal system: cubic
# Offset from the most stable computed form in meV/atom: 0
data_Mg3NbAu
_cell_length_a 4.951
_cell_length_b 4.951
_cell_length_c 4.951
_cell_angle_alpha 90.00
_cell_angle_beta 90.00
_cell_angle_gamma 90.00
_space_group_name_H-M_alt 'P 1'
_space_group_IT_number 1
_space_group_name_Hall 'P 1'
loop_
_atom_site_label
_atom_site_type_symbol
_atom_site_fract_x
_atom_site_fract_y
_atom_site_fract_z
Mg1 Mg 0.000 0.000 0.500
Mg2 Mg 0.000 0.500 0.000
Mg3 Mg 0.500 0.000 0.000
Nb1 Nb 0.500 0.500 0.500
Au1 Au 0.000 0.000 0.000

---

Record 7
# PBE-GGA CrOsAu2, relaxed
# Energy of formation in eV/atom: 0.512
# Crystal system: orthorhombic
# Offset from the most stable computed form in meV/atom: 302
data_CrOsAu2
_cell_length_a 4.841
_cell_length_b 4.841
_cell_length_c 2.923
_cell_angle_alpha 90.00
_cell_angle_beta 90.00
_cell_angle_gamma 110.09
_space_group_name_H-M_alt 'P 1'
_space_group_IT_number 1
_space_group_name_Hall 'P 1'
loop_
_atom_site_label
_atom_site_type_symbol
_atom_site_fract_x
_atom_site_fract_y
_atom_site_fract_z
Cr1 Cr 0.000 0.000 0.000
Os1 Os 0.500 0.500 0.000
Au1 Au 0.000 0.500 0.500
Au2 Au 0.500 0.000 0.500

---

Record 8
# PBE-GGA Lu2TlPd, relaxed
# Energy of formation in eV/atom: -0.631
# Crystal system: tetragonal
data_Lu2TlPd
_cell_length_a 3.535
_cell_length_b 3.535
_cell_length_c 7.417
_cell_angle_alpha 90.00
_cell_angle_beta 90.00
_cell_angle_gamma 90.00
_space_group_name_H-M_alt 'P 1'
_space_group_IT_number 1
_space_group_name_Hall 'P 1'
loop_
_atom_site_label
_atom_site_type_symbol
_atom_site_fract_x
_atom_site_fract_y
_atom_site_fract_z
Lu1 Lu 0.000 0.000 0.221
Lu2 Lu 0.000 0.000 0.779
Tl1 Tl 0.500 0.500 0.500
Pd1 Pd 0.500 0.500 0.000

---

Record 9
# PBE-GGA Ba4YCr, relaxed
# Energy of formation in eV/atom: 0.817
# Crystal system: cubic
data_Ba4YCr
_cell_length_a 7.397
_cell_length_b 7.397
_cell_length_c 7.397
_cell_angle_alpha 60.00
_cell_angle_beta 60.00
_cell_angle_gamma 60.00
_space_group_name_H-M_alt 'P 1'
_space_group_IT_number 1
_space_group_name_Hall 'P 1'
loop_
_atom_site_label
_atom_site_type_symbol
_atom_site_fract_x
_atom_site_fract_y
_atom_site_fract_z
Ba1 Ba 0.125 0.125 0.125
Ba2 Ba 0.125 0.125 0.624
Ba3 Ba 0.125 0.624 0.125
Ba4 Ba 0.624 0.125 0.125
Y1 Y 0.500 0.500 0.500
Cr1 Cr 0.750 0.750 0.750

---

Record 10
# PBE-GGA BeSi2Pd8, relaxed
# Crystal system: monoclinic
# Offset from the most stable computed form in meV/atom: 0
data_BeSi2Pd8
_cell_length_a 7.462
_cell_length_b 7.462
_cell_length_c 5.813
_cell_angle_alpha 105.55
_cell_angle_beta 105.55
_cell_angle_gamma 30.56
_space_group_name_H-M_alt 'P 1'
_space_group_IT_number 1
_space_group_name_Hall 'P 1'
loop_
_atom_site_label
_atom_site_type_symbol
_atom_site_fract_x
_atom_site_fract_y
_atom_site_fract_z
Be1 Be 0.000 0.000 0.000
Si1 Si 0.320 0.320 0.293
Si2 Si 0.680 0.680 0.707
Pd1 Pd 0.094 0.094 0.468
Pd2 Pd 0.167 0.167 0.973
Pd3 Pd 0.297 0.297 0.682
Pd4 Pd 0.475 0.475 0.216
Pd5 Pd 0.525 0.525 0.784
Pd6 Pd 0.703 0.703 0.318
Pd7 Pd 0.833 0.833 0.027
Pd8 Pd 0.906 0.906 0.532

---

Record 11
# PBE-GGA BaLaAg2As, relaxed
# Energy of formation in eV/atom: 0.837
# Crystal system: tetragonal
data_BaLaAg2As
_cell_length_a 5.451
_cell_length_b 5.451
_cell_length_c 7.021
_cell_angle_alpha 90.00
_cell_angle_beta 90.00
_cell_angle_gamma 90.00
_space_group_name_H-M_alt 'P 1'
_space_group_IT_number 1
_space_group_name_Hall 'P 1'
loop_
_atom_site_label
_atom_site_type_symbol
_atom_site_fract_x
_atom_site_fract_y
_atom_site_fract_z
Ba1 Ba 0.000 0.000 0.000
La1 La 0.000 0.000 0.500
Ag1 Ag 0.000 0.500 0.500
Ag2 Ag 0.500 0.000 0.500
As1 As 0.500 0.500 0.000

---

Record 12
# PBE-GGA NaMgAsS4, relaxed
# Crystal system: orthorhombic
# VASP energy in eV per atom: -4.075
data_NaMgAsS4
_cell_length_a 7.057
_cell_length_b 7.057
_cell_length_c 7.576
_cell_angle_alpha 90.00
_cell_angle_beta 90.00
_cell_angle_gamma 113.22
_space_group_name_H-M_alt 'P 1'
_space_group_IT_number 1
_space_group_name_Hall 'P 1'
loop_
_atom_site_label
_atom_site_type_symbol
_atom_site_fract_x
_atom_site_fract_y
_atom_site_fract_z
Na1 Na 0.000 0.000 0.000
Na2 Na 0.000 0.000 0.500
Mg1 Mg 0.368 0.632 0.750
Mg2 Mg 0.632 0.368 0.250
As1 As 0.358 0.642 0.250
As2 As 0.642 0.358 0.750
S1 S 0.247 0.753 0.020
S2 S 0.247 0.753 0.480
S3 S 0.260 0.302 0.250
S4 S 0.302 0.260 0.750
S5 S 0.698 0.740 0.250
S6 S 0.740 0.698 0.750
S7 S 0.753 0.247 0.520
S8 S 0.753 0.247 0.980

---

Copy entry 2 word for word.
# PBE-GGA KRu3Cl, relaxed
# Crystal system: cubic
# Offset from the most stable computed form in meV/atom: 0
data_KRu3Cl
_cell_length_a 4.506
_cell_length_b 4.506
_cell_length_c 4.506
_cell_angle_alpha 90.00
_cell_angle_beta 90.00
_cell_angle_gamma 90.00
_space_group_name_H-M_alt 'P 1'
_space_group_IT_number 1
_space_group_name_Hall 'P 1'
loop_
_atom_site_label
_atom_site_type_symbol
_atom_site_fract_x
_atom_site_fract_y
_atom_site_fract_z
K1 K 0.000 0.000 0.000
Ru1 Ru 0.000 0.500 0.500
Ru2 Ru 0.500 0.000 0.500
Ru3 Ru 0.500 0.500 0.000
Cl1 Cl 0.500 0.500 0.500

---

> Number 6 is which compound?

Mg3NbAu